Record 1
Below is an optimized crystal structure of YReI2O, with properties calculated at the PBE-GGA level.

a = 5.710 Å, b = 5.710 Å, c = 3.768 Å
α = 90.00°, β = 90.00°, γ = 90.00°
Fractional coordinates of all 5 atoms:
Y 0.000 0.000 0.000
Re 0.500 0.500 0.500
I 0.000 0.500 0.500
I 0.500 0.000 0.500
O 0.500 0.500 0.000

Values from the calculation:
Size of the total moment, Bohr magnetons per cell: 0.27
Energy relative to the lowest polymorph listed for this composition, meV/atom: 0

Record 2
Below is an optimized crystal structure of MnCuTeSe, with properties calculated at the PBE-GGA level.

a = 4.154 Å, b = 4.154 Å, c = 7.161 Å
α = 106.81°, β = 106.81°, γ = 59.95°
Fractional coordinates of all 4 atoms:
Mn 0.000 0.000 0.000
Cu 0.493 0.493 0.474
Te 0.870 0.870 0.607
Se 0.372 0.372 0.115

Values from the calculation:
Size of the total moment, Bohr magnetons per cell: 4.29
Total energy, eV per atom: -5.172

Record 3
Below is an optimized crystal structure of HoSc2PaN4, with properties calculated at the PBE-GGA level.

a = 5.769 Å, b = 3.360 Å, c = 5.802 Å
α = 90.00°, β = 109.23°, γ = 90.00°
Fractional coordinates of all 8 atoms:
Ho 0.000 0.000 0.000
Sc 0.500 0.000 0.500
Sc 0.500 0.500 0.000
Pa 0.000 0.500 0.500
N 0.257 0.500 0.263
N 0.263 0.000 0.751
N 0.737 0.000 0.249
N 0.743 0.500 0.737

Values from the calculation:
Size of the total moment, Bohr magnetons per cell: 0.00
Total energy, eV per atom: -9.261

Record 4
Below is an optimized crystal structure of HgIF, with properties calculated at the PBE-GGA level.

a = 4.496 Å, b = 4.688 Å, c = 9.495 Å
α = 89.41°, β = 79.03°, γ = 89.79°
Fractional coordinates of all 6 atoms:
Hg 0.172 0.253 0.350
Hg 0.828 0.747 0.650
I 0.290 0.745 0.833
I 0.710 0.255 0.167
F 0.165 0.751 0.445
F 0.835 0.249 0.555

Values from the calculation:
Size of the total moment, Bohr magnetons per cell: 0.00
Energy relative to the lowest polymorph listed for this composition, meV/atom: 0

Record 5
Below is an optimized crystal structure of FeCu2Se4, with properties calculated at the PBE-GGA level.

a = 7.290 Å, b = 7.290 Å, c = 7.290 Å
α = 121.77°, β = 120.70°, γ = 87.87°
Fractional coordinates of all 14 atoms:
Fe 0.500 0.000 0.000
Fe 0.500 0.500 0.500
Cu 0.000 0.000 0.000
Cu 0.133 0.383 0.750
Cu 0.500 0.000 0.500
Cu 0.867 0.617 0.250
Se 0.271 0.254 0.483
Se 0.271 0.787 0.017
Se 0.273 0.749 0.524
Se 0.275 0.251 0.024
Se 0.725 0.749 0.976
Se 0.727 0.251 0.476
Se 0.729 0.213 0.983
Se 0.729 0.746 0.517

Values from the calculation:
Size of the total moment, Bohr magnetons per cell: 3.01
Total energy, eV per atom: -4.528

Record 6
Below is an optimized crystal structure of PaOsW2, with properties calculated at the PBE-GGA level.

a = 4.641 Å, b = 4.641 Å, c = 4.641 Å
α = 60.00°, β = 60.00°, γ = 60.00°
Fractional coordinates of all 4 atoms:
Pa 0.000 0.000 0.000
Os 0.500 0.500 0.500
W 0.250 0.250 0.250
W 0.750 0.750 0.750

Values from the calculation:
Energy of formation, eV/atom: 0.42
Size of the total moment, Bohr magnetons per cell: 0.00
Energy relative to the lowest polymorph listed for this composition, meV/atom: 218